1.
A geometry-optimized Np2PbCl11 structure. Source: the Alexandria database, functional GGA-PBE.

Summary:
DOS at the Fermi energy	21.054	states/eV/f.u.
energy relative to the elements, uncorrected	-1.377	eV/atom
spin magnetization	10.00	μB per cell

Unit cell a=11.779 b=10.707 c=10.707 alpha=66.98 beta=56.63 gamma=56.63
Element x y z (fractional)
Np 0.665 0.663 0.337
Np 0.335 0.337 0.663
Np 0.835 0.163 0.837
Np 0.165 0.837 0.163
Pb 0.750 0.750 0.750
Pb 0.250 0.250 0.250
Cl 0.646 0.693 0.576
Cl 0.354 0.307 0.424
Cl 0.086 0.576 0.693
Cl 0.854 0.924 0.807
Cl 0.914 0.424 0.307
Cl 0.146 0.076 0.193
Cl 0.414 0.807 0.924
Cl 0.586 0.193 0.076
Cl 0.500 0.500 0.500
Cl 0.000 0.000 0.000
Cl 0.812 0.808 0.192
Cl 0.188 0.192 0.808
Cl 0.688 0.308 0.692
Cl 0.312 0.692 0.308
Cl 0.427 0.914 0.356
Cl 0.573 0.086 0.644
Cl 0.303 0.356 0.914
Cl 0.073 0.144 0.586
Cl 0.697 0.644 0.086
Cl 0.927 0.856 0.414
Cl 0.197 0.586 0.144
Cl 0.803 0.414 0.856

=====

2.
A geometry-optimized NpPbCl5 structure. Source: the Alexandria database, functional GGA-PBE.

Summary:
DOS at the Fermi energy	6.696	states/eV/f.u.
energy relative to the elements, uncorrected	-1.418	eV/atom
spin magnetization	8.00	μB per cell

Unit cell a=7.295 b=7.295 c=11.211 alpha=67.51 beta=67.51 gamma=85.29
Element x y z (fractional)
Np 0.000 0.000 0.000
Np 0.000 0.000 0.500
Pb 0.348 0.652 0.750
Pb 0.652 0.348 0.250
Cl 0.341 0.242 0.857
Cl 0.326 0.790 0.478
Cl 0.242 0.341 0.357
Cl 0.019 0.981 0.750
Cl 0.210 0.674 0.022
Cl 0.790 0.326 0.978
Cl 0.981 0.019 0.250
Cl 0.758 0.659 0.643
Cl 0.674 0.210 0.522
Cl 0.659 0.758 0.143

=====

| no. | total energy (Ha/atom) |
| --- | --- |
| 1 | -0.182 |
| 2 | -0.188 |